Below is a relaxed PmGa2IrPd2 crystal, with properties calculated at the PBE-GGA level.

## Properties
V (Å³/atom): 20.63
ΔE_f (meV per atom): -463
Uncorrected energy (eV/atom): -5.47
Space group: P4/mmm

Cell lengths 4.7259, 4.7259, 5.5432 Å; angles 90.00, 90.00, 90.00 degrees
With the nearest neighbours (Å) after each atom.
Element x y z (fractional)
Pm 0.0000 0.0000 0.0000  2 Ir 2.77
Ga 0.0000 0.5000 0.5000  2 Ir 2.36
Ga 0.5000 0.0000 0.5000  2 Ir 2.36
Ir 0.0000 0.0000 0.5000  4 Ga 2.36
Pd 0.5000 0.5000 0.2451  2 Pd 2.72-2.83, 4 Ga 2.75
Pd 0.5000 0.5000 0.7549  2 Pd 2.72-2.83, 4 Ga 2.75